Entry 1:
Compound: Ba2NaP
Source: Alexandria via LeMat-Bulk
Functional: PBE
Structure: relaxed

Summary:
The calculated formation energy comes out at -523.7 meV/atom. For the mass density, the calculation gives 3.0 g/cm³. Its density of states at the Fermi level is 1.74 states/eV/cell.

Structure (POSCAR):
```
Ba2NaP
1.0
4.5649 -0.0122 0.0000
-2.2663 3.9627 0.0000
0.0000 0.0000 10.2015
Ba P Na
2 1 1
Direct
0.4662 0.5339 0.6776 Ba
0.4662 0.5339 0.3224 Ba
0.1325 0.8675 0.5000 P
0.8012 0.1988 0.0000 Na
```

Entry 2:
Compound: Ac4SiPBr2
Source: Alexandria via LeMat-Bulk
Functional: PBE
Structure: relaxed

Summary:
As for the energy relative to the elements, uncorrected: -974 kJ/mol of formula units. For the mass density, the calculation gives 7.0 g/cm³. Its density of states at the Fermi level is 3.91 states/eV/cell.

Structure (POSCAR):
```
Ac4SiPBr2
1.0
4.4898 0.0000 0.0000
0.0000 7.7542 0.1290
0.0000 -2.7229 7.6417
P Ac Si Br
1 4 1 2
Direct
0.0000 0.0000 0.0000 P
0.0000 0.7401 0.2113 Ac
0.5000 0.7665 0.7914 Ac
0.0000 0.2599 0.7887 Ac
0.5000 0.2335 0.2086 Ac
0.5000 0.5000 0.0000 Si
0.5000 0.0000 0.5000 Br
0.0000 0.5000 0.5000 Br
```

Entry 3:
Compound: CsSnI4
Source: Alexandria via LeMat-Bulk
Functional: PBE
Structure: relaxed

Summary:
As for the energy relative to the elements, uncorrected: -443 kJ/mol of formula units. For the mass density, the calculation gives 4.1 g/cm³. Its density of states at the Fermi level is 3.19 states/eV/cell.

Structure (POSCAR):
```
CsSnI4
1.0
-6.0038 0.1683 -0.8727
-1.2422 -2.2813 8.1063
2.8586 11.2873 3.6146
I Cs Sn
8 2 2
Direct
0.8205 0.0000 0.6409 I
0.0000 0.5000 0.0000 I
0.8205 0.5000 0.6409 I
0.1795 0.5000 0.3591 I
0.5807 0.7500 0.1615 I
0.0000 0.0000 0.0000 I
0.4193 0.2500 0.8385 I
0.1795 0.0000 0.3591 I
0.5984 0.2500 0.1968 Cs
0.4016 0.7500 0.8032 Cs
0.9012 0.2500 0.8024 Sn
0.0988 0.7500 0.1976 Sn
```

Entry 4:
Compound: HfWSe2Br
Source: Alexandria via LeMat-Bulk
Functional: PBE
Structure: relaxed

Summary:
As for the energy relative to the elements, uncorrected: 335 kJ/mol of formula units. The energy above the most stable polymorph in this dataset comes out at 39 kJ/mol of formula units. For the mass density, the calculation gives 8.2 g/cm³. Its density of states at the Fermi level is 6.86 states/eV/cell.

Structure (POSCAR):
```
HfWSe2Br
1.0
-0.6972 -4.5931 -1.5825
2.6096 0.9944 -4.0359
4.2367 -1.4628 2.3791
Hf Br Se W
1 1 2 1
Direct
0.5000 0.5000 0.5000 Hf
0.0000 0.0000 0.5000 Br
0.5000 0.0000 0.0000 Se
0.0000 0.5000 0.0000 Se
0.0000 0.0000 0.0000 W
```

Entry 5:
Compound: Li15Tl2Cd2
Source: Alexandria via LeMat-Bulk
Functional: PBE
Structure: relaxed

Summary:
The calculated formation energy comes out at -82.3 meV/atom. For the mass density, the calculation gives 3.5 g/cm³. Its density of states at the Fermi level is 5.26 states/eV/cell.

Structure (POSCAR):
```
Li15Tl2Cd2
1.0
-5.6420 2.6931 -4.3056
-5.5850 -4.9887 -1.2419
-6.3753 1.4855 3.8432
Li Cd Tl
15 2 2
Direct
0.0000 0.3037 0.6963 Li
0.0000 0.6963 0.3037 Li
0.1897 0.5663 0.5663 Li
0.6963 0.0000 0.3037 Li
0.5000 0.0000 0.0000 Li
0.5663 0.5663 0.1897 Li
0.4337 0.4337 0.8103 Li
0.6963 0.3037 0.0000 Li
0.3037 0.6963 0.0000 Li
0.8103 0.4337 0.4337 Li
0.0000 0.0000 0.5000 Li
0.3037 0.0000 0.6963 Li
0.4337 0.8103 0.4337 Li
0.0000 0.5000 0.0000 Li
0.5663 0.1897 0.5663 Li
0.0897 0.0897 0.0897 Cd
0.9103 0.9103 0.9103 Cd
0.7126 0.7126 0.7126 Tl
0.2874 0.2874 0.2874 Tl
```

Entry 6:
Compound: RbPm4Cl12
Source: Alexandria via LeMat-Bulk
Functional: PBE
Structure: relaxed

Summary:
As for the energy relative to the elements, uncorrected: -3541 kJ/mol of formula units. For the mass density, the calculation gives 2.9 g/cm³. Its density of states at the Fermi level is 5.99 states/eV/cell.

Structure (POSCAR):
```
RbPm4Cl12
1.0
-8.3897 3.9967 0.4397
-0.6192 -8.5408 3.6365
6.1999 5.0266 4.7799
Cl Pm Rb
12 4 1
Direct
0.5505 0.2400 0.3105 Cl
0.7275 0.5314 0.8039 Cl
0.7275 0.9236 0.1961 Cl
0.2725 0.0764 0.8039 Cl
0.7829 0.2615 0.0444 Cl
0.2171 0.2615 0.4785 Cl
0.0704 0.7600 0.3105 Cl
0.7829 0.7385 0.5215 Cl
0.2171 0.7385 0.9556 Cl
0.9296 0.2400 0.6895 Cl
0.2725 0.4686 0.1961 Cl
0.4495 0.7600 0.6895 Cl
0.0000 0.0000 0.5000 Pm
0.5000 0.5000 0.5000 Pm
0.0000 0.5000 0.0000 Pm
0.5000 0.0000 0.0000 Pm
0.0000 0.5000 0.5000 Rb
```

Entry 7:
Compound: KSr3Br
Source: Alexandria via LeMat-Bulk
Functional: PBE
Structure: relaxed

Summary:
As for the energy relative to the elements, uncorrected: 169 kJ/mol of formula units. The energy above the most stable polymorph in this dataset comes out at 349 kJ/mol of formula units. For the mass density, the calculation gives 1.6 g/cm³. Its density of states at the Fermi level is 2.46 states/eV/cell.

Structure (POSCAR):
```
KSr3Br
1.0
7.3116 0.0000 0.0000
0.0000 7.3116 0.0000
0.0000 0.0000 7.3116
Br Sr K
1 3 1
Direct
0.5000 0.5000 0.5000 Br
0.0000 0.0000 0.5000 Sr
0.0000 0.5000 0.0000 Sr
0.5000 0.0000 0.0000 Sr
0.0000 0.0000 0.0000 K
```

Entry 8:
Compound: Ho2Ga3Pd2
Source: Alexandria via LeMat-Bulk
Functional: PBE
Structure: relaxed

Summary:
The calculated formation energy comes out at -783.5 meV/atom. For the mass density, the calculation gives 9.4 g/cm³. Its density of states at the Fermi level is 4.28 states/eV/cell.

Structure (POSCAR):
```
Ho2Ga3Pd2
1.0
4.3817 0.0000 0.0000
-2.1909 4.9735 0.0150
0.0000 -2.6300 6.1192
Pd Ga Ho
2 3 2
Direct
0.8639 0.7279 0.7810 Pd
0.1361 0.2721 0.2190 Pd
0.3879 0.7758 0.5595 Ga
0.6121 0.2242 0.4405 Ga
0.5000 0.0000 0.0000 Ga
0.1525 0.3049 0.7734 Ho
0.8475 0.6951 0.2266 Ho
```

Entry 9:
Compound: BaLa2ReN4
Source: Alexandria via LeMat-Bulk
Functional: PBE
Structure: relaxed

Summary:
As for the energy relative to the elements, uncorrected: -644 kJ/mol of formula units. For the mass density, the calculation gives 7.3 g/cm³. Its density of states at the Fermi level is 6.48 states/eV/cell.

Structure (POSCAR):
```
BaLa2ReN4
1.0
3.6153 0.0000 0.0000
-1.8077 6.4892 0.0000
0.0000 0.0000 12.8087
La Re N Ba
4 2 8 2
Direct
0.6292 0.2583 0.4596 La
0.6292 0.2583 0.0404 La
0.3708 0.7417 0.9596 La
0.3708 0.7417 0.5404 La
0.8050 0.6100 0.7500 Re
0.1950 0.3900 0.2500 Re
0.7430 0.4859 0.6186 N
0.7430 0.4859 0.8814 N
0.2570 0.5141 0.3814 N
0.6163 0.2327 0.2500 N
0.2570 0.5141 0.1186 N
0.0000 0.0000 0.5000 N
0.0000 0.0000 0.0000 N
0.3837 0.7673 0.7500 N
0.9397 0.8795 0.2500 Ba
0.0603 0.1205 0.7500 Ba
```

Entry 10:
Compound: YHgPb2
Source: Alexandria via LeMat-Bulk
Functional: PBE
Structure: relaxed

Summary:
The calculated formation energy comes out at -83.7 meV/atom. For the mass density, the calculation gives 10.0 g/cm³. Its density of states at the Fermi level is 6.90 states/eV/cell.

Structure (POSCAR):
```
YHgPb2
1.0
8.5029 0.0000 0.0000
0.0000 8.5029 0.0000
4.2515 4.2515 3.2479
Y Pb Hg
2 4 2
Direct
0.5000 0.5000 0.0000 Y
0.2500 0.7500 0.5000 Y
0.0993 0.6250 0.2500 Pb
0.3750 0.3493 0.7500 Pb
0.8750 0.9007 0.7500 Pb
0.6507 0.1250 0.2500 Pb
0.0000 0.0000 0.0000 Hg
0.7500 0.2500 0.5000 Hg
```

Entry 11:
Compound: CsC
Source: Alexandria via LeMat-Bulk
Functional: PBE
Structure: relaxed

Summary:
The energy above the most stable polymorph in this dataset comes out at 145 kJ/mol of formula units. The calculated formation energy comes out at 1059.9 meV/atom. For the mass density, the calculation gives 4.2 g/cm³. Its density of states at the Fermi level is 5.73 states/eV/cell.

Structure (POSCAR):
```
CsC
1.0
-7.8201 -1.5750 9.7118
-9.4311 -2.3337 -7.9726
0.6528 -2.8532 0.0629
C Cs
8 8
Direct
0.7565 0.7565 0.0000 C
0.2565 0.2565 0.5000 C
0.7435 0.2565 0.5000 C
0.2435 0.7565 0.0000 C
0.7565 0.2435 0.0000 C
0.2435 0.2435 0.0000 C
0.7435 0.7435 0.5000 C
0.2565 0.7435 0.5000 C
0.2551 0.5000 0.0000 Cs
0.0000 0.2449 0.5000 Cs
0.5000 0.7449 0.0000 Cs
0.2449 0.0000 0.5000 Cs
0.7449 0.5000 0.0000 Cs
0.5000 0.2551 0.0000 Cs
0.0000 0.7551 0.5000 Cs
0.7551 0.0000 0.5000 Cs
```

Entry 12:
Compound: KPmCuF6
Source: Alexandria via LeMat-Bulk
Functional: PBE
Structure: relaxed

Summary:
As for the energy relative to the elements, uncorrected: -2537 kJ/mol of formula units. For the mass density, the calculation gives 4.1 g/cm³. Its density of states at the Fermi level is 0.42 states/eV/cell.

Structure (POSCAR):
```
KPmCuF6
1.0
7.5672 0.0000 0.0000
0.0000 7.5635 0.0000
-3.7836 -3.7818 5.0763
F K Cu Pm
12 2 2 2
Direct
0.4446 0.6089 0.2652 F
0.8206 0.6089 0.2652 F
0.5554 0.8437 0.7348 F
0.8206 0.1563 0.2652 F
0.5554 0.3911 0.7348 F
0.8822 0.1322 0.7645 F
0.4446 0.1563 0.2652 F
0.1178 0.8678 0.2355 F
0.1794 0.3911 0.7348 F
0.6146 0.8646 0.2293 F
0.1794 0.8437 0.7348 F
0.3854 0.1354 0.7707 F
0.8317 0.5817 0.6634 K
0.1683 0.4183 0.3366 K
0.5000 0.0000 0.0000 Cu
0.5000 0.5000 0.0000 Cu
0.5000 0.0000 0.5000 Pm
0.0000 0.0000 0.5000 Pm
```

Entry 13:
Compound: P2IrRuO
Source: Alexandria via LeMat-Bulk
Functional: PBE
Structure: relaxed

Summary:
As for the energy relative to the elements, uncorrected: 297 kJ/mol of formula units. The energy above the most stable polymorph in this dataset comes out at 73 kJ/mol of formula units. For the mass density, the calculation gives 7.6 g/cm³. Its density of states at the Fermi level is 5.52 states/eV/cell.

Structure (POSCAR):
```
P2IrRuO
1.0
-4.3583 1.6295 0.8959
-1.3678 -1.2627 -4.3574
-0.9556 -3.2363 1.2378
P Ir Ru O
2 1 1 1
Direct
0.5000 0.0000 0.0000 P
0.0000 0.5000 0.0000 P
0.0000 0.0000 0.0000 Ir
0.5000 0.5000 0.5000 Ru
0.0000 0.0000 0.5000 O
```

Entry 14:
Compound: Cu2AgSb
Source: Alexandria via LeMat-Bulk
Functional: PBE
Structure: relaxed

Summary:
As for the energy relative to the elements, uncorrected: 122 kJ/mol of formula units. For the mass density, the calculation gives 8.2 g/cm³. Its density of states at the Fermi level is 3.64 states/eV/cell.

Structure (POSCAR):
```
Cu2AgSb
1.0
8.4895 -0.0934 -0.0550
7.9331 3.0241 -0.0550
7.9331 1.4157 2.6728
Ag Cu Sb
1 2 1
Direct
0.7397 0.7397 0.7397 Ag
0.9934 0.9934 0.9934 Cu
0.2584 0.2584 0.2584 Cu
0.5085 0.5085 0.5085 Sb
```

Entry 15:
Compound: TcMo3Au
Source: Alexandria via LeMat-Bulk
Functional: PBE
Structure: relaxed

Summary:
The energy above the most stable polymorph in this dataset comes out at 0 kJ/mol of formula units. The calculated formation energy comes out at 1521.5 meV/atom. For the mass density, the calculation gives 9.5 g/cm³. Its density of states at the Fermi level is 5.44 states/eV/cell.

Structure (POSCAR):
```
TcMo3Au
1.0
-3.8135 -1.5673 -2.1863
2.2699 -3.9103 -1.1560
-1.4437 -2.0080 3.9576
Tc Mo Au
1 3 1
Direct
0.0000 0.0000 0.0000 Tc
0.0000 0.0000 0.5000 Mo
0.5000 0.0000 0.0000 Mo
0.0000 0.5000 0.0000 Mo
0.5000 0.5000 0.5000 Au
```

Entry 16:
Compound: La4GaOsBr2
Source: Alexandria via LeMat-Bulk
Functional: PBE
Structure: relaxed

Summary:
As for the energy relative to the elements, uncorrected: -704 kJ/mol of formula units. For the mass density, the calculation gives 6.4 g/cm³. Its density of states at the Fermi level is 4.54 states/eV/cell.

Structure (POSCAR):
```
La4GaOsBr2
1.0
-1.9498 3.7768 0.4078
-5.4708 -2.2115 -5.6751
-5.7663 -3.3587 3.5360
Br Os La Ga
2 1 4 1
Direct
0.5000 0.0000 0.5000 Br
0.0000 0.0000 0.0000 Br
0.5000 0.5000 0.0000 Os
0.5000 0.7041 0.2331 La
0.0000 0.2990 0.2254 La
0.5000 0.2959 0.7669 La
0.0000 0.7010 0.7746 La
0.0000 0.5000 0.5000 Ga
```

Entry 17:
Compound: Np3NbN4
Source: Alexandria via LeMat-Bulk
Functional: PBE
Structure: relaxed

Summary:
As for the energy relative to the elements, uncorrected: -858 kJ/mol of formula units. For the mass density, the calculation gives 13.4 g/cm³. Its density of states at the Fermi level is 33.61 states/eV/cell.

Structure (POSCAR):
```
Np3NbN4
1.0
5.7994 0.0483 0.0000
-1.9872 5.5111 0.0000
0.0000 0.0000 6.6545
N Np Nb
8 6 2
Direct
0.5088 0.7600 0.6350 N
0.5029 0.7700 0.1176 N
0.4971 0.2300 0.8824 N
0.4912 0.2400 0.3650 N
0.0029 0.7700 0.8824 N
0.0088 0.7600 0.3650 N
0.9912 0.2400 0.6350 N
0.9971 0.2300 0.1176 N
0.2500 0.5000 0.8802 Np
0.7500 0.5000 0.1198 Np
0.2500 0.5000 0.3708 Np
0.7500 0.0000 0.3725 Np
0.2500 0.0000 0.6275 Np
0.7500 0.5000 0.6292 Np
0.7500 0.0000 0.8722 Nb
0.2500 0.0000 0.1278 Nb
```

Entry 18:
Compound: MnCo5Ge6
Source: Alexandria via LeMat-Bulk
Functional: PBE
Structure: relaxed

Summary:
The calculated formation energy comes out at -23.0 meV/atom. For the mass density, the calculation gives 8.7 g/cm³. Its density of states at the Fermi level is 7.17 states/eV/cell.

Structure (POSCAR):
```
MnCo5Ge6
1.0
7.1098 0.5728 0.0000
2.0969 3.5488 0.0000
1.0485 1.7744 6.2295
Ge Co Mn
6 5 1
Direct
0.2489 0.2512 0.0000 Ge
0.2480 0.9179 0.6682 Ge
0.7520 0.4138 0.6682 Ge
0.2480 0.5862 0.3318 Ge
0.7520 0.0821 0.3318 Ge
0.7511 0.7488 0.0000 Ge
0.0000 0.3311 0.3378 Co
0.5000 0.8292 0.3416 Co
0.0000 0.6689 0.6622 Co
0.5000 0.1708 0.6584 Co
0.5000 0.5000 0.0000 Co
0.0000 0.0000 0.0000 Mn
```

Entry 19:
Compound: La3YHo8
Source: Alexandria via LeMat-Bulk
Functional: PBE
Structure: relaxed

Summary:
The calculated formation energy comes out at 198.6 meV/atom. For the mass density, the calculation gives 7.3 g/cm³. Its density of states at the Fermi level is 17.51 states/eV/cell.

Structure (POSCAR):
```
La3YHo8
1.0
8.7612 0.2463 -3.6069
-3.8753 6.3901 0.2174
-0.8390 1.5638 7.2629
La Ho Y
3 8 1
Direct
0.4202 0.3489 0.7348 La
0.2972 0.7566 0.7566 La
0.4202 0.7348 0.3489 La
0.5409 0.3276 0.3276 Ho
0.6791 0.1176 0.1176 Ho
0.7385 0.8591 0.8591 Ho
0.8677 0.4760 0.8235 Ho
0.9588 0.5995 0.2535 Ho
0.8677 0.8235 0.4760 Ho
0.0954 0.2288 0.2288 Ho
0.9588 0.2535 0.5995 Ho
0.1557 0.9741 0.9741 Y
```

Entry 20:
Compound: CeGdCo2
Source: Alexandria via LeMat-Bulk
Functional: PBE
Structure: relaxed

Summary:
The energy above the most stable polymorph in this dataset comes out at 23 kJ/mol of formula units. The calculated formation energy comes out at -99.5 meV/atom. For the mass density, the calculation gives 9.1 g/cm³. Its density of states at the Fermi level is 4.79 states/eV/cell.

Structure (POSCAR):
```
CeGdCo2
1.0
3.3511 0.0000 0.0000
0.0000 4.7559 0.0000
0.0000 0.0000 4.7559
Gd Co Ce
1 2 1
Direct
0.5000 0.0000 0.0000 Gd
0.0000 0.0000 0.5000 Co
0.0000 0.5000 0.0000 Co
0.5000 0.5000 0.5000 Ce
```